! Ce2NdEr (PBE-GGA, relaxed); values from VASP
&SYSTEM
  ibrav = 0, nat = 4, ntyp = 3
/
ATOMIC_SPECIES
Nd 144.24 Nd.upf
Ce 140.12 Ce.upf
Er 167.26 Er.upf
CELL_PARAMETERS angstrom
-3.836 3.301 2.565
-4.089 -2.335 3.165
0.090 0.596 5.641
ATOMIC_POSITIONS angstrom
Nd -3.917 0.781 5.686
Ce -1.959 0.390 2.843
Ce -5.876 1.171 8.528
Er 0.000 0.000 0.000
! - Offset from the most stable computed form: 0.64 eV per formula unit
! - Space group: Fm-3m
! - Calculated formation energy: 1.05 eV/f.u.